This record from the Alexandria database describes crystalline PmInGaRh at its relaxed geometry. The functional is PBE.

Cell lengths 4.876, 4.876, 4.876 Å; angles 60.00, 60.00, 60.00 degrees
Positions (direct):
Pm (0.000, 0.000, 0.000)
In (0.500, 0.500, 0.500)
Ga (0.250, 0.250, 0.250)
Rh (0.750, 0.750, 0.750)

**Formation enthalpy at 0 K**: -0.469 eV/atom
**D(E_F)**: 1.82 states/eV/f.u.
**Raw total energy**: -4.94 eV per atom

***

This record from the Alexandria database describes crystalline Pm2InGa2Rh5 at its relaxed geometry. The functional is PBE.

Cell lengths 9.954, 9.954, 3.624 Å; angles 90.00, 90.00, 90.00 degrees
Positions (direct):
Pm (0.176, 0.324, 0.000)
Pm (0.324, 0.824, 0.000)
Pm (0.676, 0.176, 0.000)
Pm (0.824, 0.676, 0.000)
In (0.000, 0.000, 0.000)
In (0.500, 0.500, 0.000)
Ga (0.122, 0.622, 0.000)
Ga (0.378, 0.122, 0.000)
Ga (0.622, 0.878, 0.000)
Ga (0.878, 0.378, 0.000)
Rh (0.000, 0.500, 0.500)
Rh (0.068, 0.790, 0.500)
Rh (0.210, 0.068, 0.500)
Rh (0.290, 0.568, 0.500)
Rh (0.432, 0.290, 0.500)
Rh (0.500, 0.000, 0.500)
Rh (0.568, 0.710, 0.500)
Rh (0.710, 0.432, 0.500)
Rh (0.790, 0.932, 0.500)
Rh (0.932, 0.210, 0.500)

**Formation enthalpy at 0 K**: -0.732 eV/atom
**D(E_F)**: 5.74 states/eV/f.u.
**Raw total energy**: -6.24 eV per atom

***

This record from the Alexandria database describes crystalline Pm2InGa4Rh3 at its relaxed geometry. The functional is PBE.

Cell lengths 4.148, 4.148, 11.307 Å; angles 90.00, 90.00, 90.00 degrees
Positions (direct):
Pm (0.000, 0.500, 0.236)
Pm (0.500, 0.000, 0.764)
In (0.000, 0.000, 0.500)
Ga (0.000, 0.000, 0.000)
Ga (0.000, 0.500, 0.651)
Ga (0.500, 0.000, 0.349)
Ga (0.500, 0.500, 0.000)
Rh (0.000, 0.500, 0.871)
Rh (0.500, 0.000, 0.129)
Rh (0.500, 0.500, 0.500)

**Formation enthalpy at 0 K**: -0.672 eV/atom
**D(E_F)**: 7.11 states/eV/f.u.
**Raw total energy**: -5.31 eV per atom

***

This record from the Alexandria database describes crystalline Pm2InGa3Rh4 at its relaxed geometry. The functional is PBE.

Cell lengths 4.297, 4.297, 10.478 Å; angles 90.00, 90.00, 90.00 degrees
Positions (direct):
Pm (0.000, 0.500, 0.233)
Pm (0.500, 0.000, 0.767)
In (0.000, 0.000, 0.500)
Ga (0.000, 0.500, 0.880)
Ga (0.500, 0.000, 0.120)
Ga (0.500, 0.500, 0.500)
Rh (0.000, 0.000, 0.000)
Rh (0.000, 0.500, 0.645)
Rh (0.500, 0.000, 0.355)
Rh (0.500, 0.500, 0.000)

**Formation enthalpy at 0 K**: -0.733 eV/atom
**D(E_F)**: 7.44 states/eV/f.u.
**Raw total energy**: -5.81 eV per atom

***

This record from the Alexandria database describes crystalline PmInGa2S6 at its relaxed geometry. The functional is PBE.

Cell lengths 8.576, 8.576, 7.201 Å; angles 107.23, 107.23, 80.35 degrees
Positions (direct):
Pm (0.155, 0.845, 0.750)
Pm (0.845, 0.155, 0.250)
In (0.209, 0.791, 0.250)
In (0.791, 0.209, 0.750)
Ga (0.252, 0.369, 0.787)
Ga (0.369, 0.252, 0.287)
Ga (0.631, 0.748, 0.713)
Ga (0.748, 0.631, 0.213)
S (0.058, 0.172, 0.643)
S (0.106, 0.607, 0.918)
S (0.172, 0.058, 0.143)
S (0.281, 0.457, 0.527)
S (0.393, 0.894, 0.582)
S (0.457, 0.281, 0.027)
S (0.543, 0.719, 0.973)
S (0.607, 0.106, 0.418)
S (0.719, 0.543, 0.473)
S (0.828, 0.942, 0.857)
S (0.894, 0.393, 0.082)
S (0.942, 0.828, 0.357)

**D(E_F)**: 0.00 states/eV/f.u.
**Raw total energy**: -4.73 eV per atom
**Raw formation energy**: -0.90 eV/atom

***

This record from the Alexandria database describes crystalline PmScInGa at its relaxed geometry. The functional is PBE.

Cell lengths 5.128, 5.128, 5.128 Å; angles 60.00, 60.00, 60.00 degrees
Positions (direct):
Pm (0.000, 0.000, 0.000)
Sc (0.500, 0.500, 0.500)
In (0.750, 0.750, 0.750)
Ga (0.250, 0.250, 0.250)

**Formation enthalpy at 0 K**: -0.472 eV/atom
**D(E_F)**: 1.42 states/eV/f.u.
**Raw total energy**: -4.68 eV per atom